# 1
DFT (PBE) results for Pr3Ge2Br2 after structural relaxation.

Computed properties:
As for the space group: P-1, No. 2. The calculation puts the formation energy from raw total energies at -1.0402 eV per atom.

```
Pr3Ge2Br2
1.0
4.2473 0.0000 0.0000
2.0927 7.1646 0.0000
0.0086 1.8424 7.7889
Pr Ge Br
3 2 2
direct
0.0000 0.0000 0.0000
0.2354 0.5255 0.7676
0.7646 0.4745 0.2324
0.3791 0.2449 0.1069
0.6209 0.7551 0.8931
0.1405 0.7231 0.3679
0.8595 0.2769 0.6321
```



# 2
DFT (PBE) results for CuAg2IO6 after structural relaxation.

Computed properties:
As for the space group: C2/m, No. 12. The calculation puts the formation energy from raw total energies at -0.2002 eV per atom.

```
CuAg2IO6
1.0
5.5747 -2.6474 0.0000
5.5747 2.6474 0.0000
-1.8003 0.0000 4.4354
Cu Ag I O
1 2 1 6
direct
0.0000 0.0000 0.0000
0.2317 0.2317 0.6971
0.7683 0.7683 0.3029
0.5000 0.5000 0.5000
0.1675 0.6868 0.6879
0.3132 0.8325 0.3121
0.3352 0.3352 0.1915
0.6648 0.6648 0.8085
0.6868 0.1675 0.6879
0.8325 0.3132 0.3121
```



# 3
DFT (PBE) results for AcSiSnO6 after structural relaxation.

Computed properties:
As for the space group: P312, No. 149. The calculation puts the formation energy from raw total energies at -2.3124 eV per atom.

```
AcSiSnO6
1.0
5.1872 0.0000 0.0000
-2.5936 4.4923 0.0000
0.0000 0.0000 5.3394
Ac Si Sn O
1 1 1 6
direct
0.0000 0.0000 0.0000
0.6667 0.3333 0.5000
0.3333 0.6667 0.5000
0.3963 0.0385 0.6988
0.3963 0.3578 0.3012
0.6422 0.0385 0.3012
0.6422 0.6037 0.6988
0.9615 0.3578 0.6988
0.9615 0.6037 0.3012
```



# 4
DFT (PBE) results for Tb3Dy6YHo2 after structural relaxation.

Computed properties:
The calculation puts the formation energy at 0.017 eV/atom. As for the space group: C2/m, No. 12.

```
Tb3Dy6YHo2
1.0
3.0723 -5.3162 0.0000
3.0723 5.3162 0.0000
-2.0351 0.0000 11.5745
Tb Dy Y Ho
3 6 1 2
direct
0.0000 0.0000 0.0000
0.3333 0.6667 0.0000
0.6667 0.3333 0.0000
0.0821 0.4162 0.2505
0.2497 0.2497 0.7495
0.4162 0.0821 0.2505
0.5838 0.9179 0.7495
0.7503 0.7503 0.2505
0.9179 0.5838 0.7495
0.5000 0.5000 0.5000
0.1666 0.8334 0.5000
0.8334 0.1666 0.5000
```



no.,raw total energy (eV/atom),D(E_F) (states/eV/f.u.)
1,-4.89,4.66
2,-4.31,0.68
3,-7.12,6.46
4,-4.74,15.93